[1]
Density functional theory data (PBE) for AsPd15 after structural relaxation.

Lattice parameters (Å, degrees): 7.8128 2.7848 35.6603 90.00 90.01 90.00
Atoms (fractional coordinates):
Pd (0.3755, 0.5000, 0.4416)
Pd (0.6258, 0.0000, 0.4031)
Pd (0.1246, 0.0000, 0.3249)
Pd (0.3746, 0.5000, 0.6751)
Pd (0.8754, 0.5000, 0.6751)
Pd (0.3751, 0.5000, 0.3638)
Pd (0.1242, 0.0000, 0.4032)
Pd (0.1249, 0.0000, 0.7130)
Pd (0.8745, 0.5000, 0.4425)
Pd (0.8743, 0.5000, 0.5194)
Pd (0.3751, 0.5000, 0.2101)
Pd (0.8806, 0.5000, 0.7565)
Pd (0.3742, 0.5000, 0.5969)
Pd (0.6244, 0.0000, 0.4809)
Pd (0.8751, 0.5000, 0.2870)
Pd (0.8749, 0.5000, 0.3648)
Pd (0.3693, 0.5000, 0.7565)
Pd (0.6306, 0.0000, 0.2435)
Pd (0.6251, 0.0000, 0.7139)
Pd (0.1256, 0.0000, 0.4806)
Pd (0.1194, 0.0000, 0.2435)
Pd (0.3756, 0.5000, 0.5191)
Pd (0.6249, 0.0000, 0.7899)
Pd (0.8757, 0.5000, 0.5968)
Pd (0.1251, 0.0000, 0.6352)
Pd (0.1255, 0.0000, 0.5575)
Pd (0.6254, 0.0000, 0.3249)
Pd (0.6249, 0.0000, 0.6362)
Pd (0.6246, 0.0000, 0.5584)
Pd (0.3749, 0.5000, 0.2861)
As (0.8749, 0.5000, 0.2172)
As (0.1251, 0.0000, 0.7828)

- Relative energy among the computed polymorphs: 46.8 meV/atom
- SG: No. 11

=====

[2]
Density functional theory data (PBE) for AsPd15 after structural relaxation.

Lattice parameters (Å, degrees): 7.8900 44.0331 3.9286 90.00 90.00 90.00
Atoms (fractional coordinates):
As (0.6838, 0.8306, 0.0000)
As (0.6838, 0.1694, 0.5000)
As (0.3162, 0.1694, 0.0000)
As (0.3162, 0.8306, 0.5000)
Pd (0.1296, 0.2562, 0.5000)
Pd (0.1249, 0.3445, 0.5000)
Pd (0.6251, 0.3453, 0.5000)
Pd (0.3752, 0.4778, 0.5000)
Pd (0.3791, 0.7942, 0.0000)
Pd (0.8751, 0.3445, 0.0000)
Pd (0.8801, 0.2115, 0.5000)
Pd (0.3790, 0.6996, 0.0000)
Pd (0.1242, 0.3891, 0.0000)
Pd (0.1296, 0.7438, 0.0000)
Pd (0.3795, 0.2538, 0.0000)
Pd (0.8704, 0.2562, 0.0000)
Pd (0.1247, 0.4336, 0.5000)
Pd (0.3742, 0.3894, 0.5000)
Pd (0.1242, 0.6109, 0.5000)
Pd (0.1199, 0.7885, 0.5000)
Pd (0.3747, 0.4335, 0.0000)
Pd (0.8753, 0.4336, 0.0000)
Pd (0.6210, 0.3004, 0.0000)
Pd (0.8711, 0.3002, 0.5000)
Pd (0.8748, 0.5221, 0.0000)
Pd (0.8751, 0.6555, 0.5000)
Pd (0.3795, 0.7462, 0.5000)
Pd (0.3791, 0.2058, 0.5000)
Pd (0.3752, 0.5222, 0.0000)
Pd (0.1252, 0.4779, 0.0000)
Pd (0.6209, 0.2058, 0.0000)
Pd (0.6248, 0.4778, 0.0000)
Pd (0.6251, 0.6547, 0.0000)
Pd (0.6210, 0.6996, 0.5000)
Pd (0.8758, 0.3891, 0.5000)
Pd (0.1199, 0.2115, 0.0000)
Pd (0.6258, 0.3894, 0.0000)
Pd (0.8748, 0.4779, 0.5000)
Pd (0.3749, 0.3453, 0.0000)
Pd (0.1225, 0.8371, 0.0000)
Pd (0.1289, 0.3002, 0.0000)
Pd (0.8711, 0.6998, 0.0000)
Pd (0.3742, 0.6106, 0.0000)
Pd (0.8753, 0.5664, 0.5000)
Pd (0.8704, 0.7438, 0.5000)
Pd (0.6205, 0.2538, 0.5000)
Pd (0.1289, 0.6998, 0.5000)
Pd (0.8801, 0.7885, 0.0000)
Pd (0.8758, 0.6109, 0.0000)
Pd (0.6253, 0.4335, 0.5000)
Pd (0.8775, 0.1629, 0.0000)
Pd (0.6258, 0.6106, 0.5000)
Pd (0.8775, 0.8371, 0.5000)
Pd (0.1225, 0.1629, 0.5000)
Pd (0.6248, 0.5222, 0.5000)
Pd (0.3790, 0.3004, 0.5000)
Pd (0.1247, 0.5664, 0.0000)
Pd (0.3747, 0.5665, 0.5000)
Pd (0.1252, 0.5221, 0.5000)
Pd (0.6253, 0.5665, 0.0000)
Pd (0.3749, 0.6547, 0.5000)
Pd (0.6209, 0.7942, 0.5000)
Pd (0.1249, 0.6555, 0.0000)
Pd (0.6205, 0.7462, 0.0000)

- Relative energy among the computed polymorphs: 0.0 meV/atom
- SG: No. 49

=====

[3]
Density functional theory data (PBE) for AsPd15 after structural relaxation.

Lattice parameters (Å, degrees): 4.7661 33.8182 4.7681 90.00 109.40 90.00
Atoms (fractional coordinates):
Pd (0.0000, 0.4372, 0.0000)
Pd (0.5000, 0.3952, 0.0000)
Pd (0.5000, 0.3113, 0.0000)
Pd (0.5000, 0.5629, 0.0000)
Pd (0.5000, 0.5209, 0.5000)
Pd (0.0000, 0.6887, 0.0000)
Pd (0.5000, 0.2691, 0.5000)
Pd (0.0000, 0.6048, 0.0000)
Pd (0.5000, 0.8155, 0.0000)
Pd (0.0000, 0.3952, 0.5000)
Pd (0.0000, 0.7752, 0.0000)
Pd (0.5000, 0.4791, 0.0000)
Pd (0.5000, 0.1845, 0.5000)
Pd (0.5000, 0.6048, 0.5000)
Pd (0.0000, 0.5209, 0.0000)
Pd (0.0000, 0.3113, 0.5000)
Pd (0.0000, 0.6467, 0.5000)
Pd (0.5000, 0.6887, 0.5000)
Pd (0.5000, 0.3534, 0.5000)
Pd (0.0000, 0.5628, 0.5000)
Pd (0.5000, 0.7752, 0.5000)
Pd (0.0000, 0.2248, 0.5000)
Pd (0.0000, 0.2697, 0.0000)
Pd (0.5000, 0.6466, 0.0000)
Pd (0.5000, 0.7309, 0.0000)
Pd (0.0000, 0.7303, 0.5000)
Pd (0.5000, 0.2248, 0.0000)
Pd (0.0000, 0.3533, 0.0000)
Pd (0.0000, 0.4791, 0.5000)
Pd (0.5000, 0.4371, 0.5000)
As (0.0000, 0.8044, 0.5000)
As (0.0000, 0.1956, 0.0000)

- Relative energy among the computed polymorphs: 15.7 meV/atom
- SG: No. 13

=====

Among the records above, which one has the highest relative energy among the computed polymorphs?
number 1

=====

Look up the relative energy among the computed polymorphs of the second one.
0.0 meV/atom